# 1
# Fe2SbIr (PBE, optimized geometry)
data_Fe2SbIr
_cell_length_a 3.0242
_cell_length_b 4.2970
_cell_length_c 4.6140
_cell_angle_alpha 90.00
_cell_angle_beta 90.00
_cell_angle_gamma 90.00
_space_group_name_H-M_alt 'P m m 2'
_space_group_IT_number 25
loop_
_space_group_symop_operation_xyz
'x,y,z'
'-x,-y,z'
'-x,y,z'
'x,-y,z'
loop_
_atom_site_label
_atom_site_type_symbol
_atom_site_fract_x
_atom_site_fract_y
_atom_site_fract_z
Fe1 Fe 0.0000 0.0000 0.0000
Fe2 Fe 0.0000 0.5000 0.2836
Sb1 Sb 0.5000 0.0000 0.4732
Ir1 Ir 0.5000 0.5000 0.8147
# Calculated density = 11.789 g cm⁻³
# Volume = 14.99 Å³/atom
# Total energy = -7.32 eV per atom
# ΔE_f (raw) = 14.85 kJ/mol of atoms

***

# 2
# Fe2SbIr (PBE, optimized geometry)
data_Fe2SbIr
_cell_length_a 5.2712
_cell_length_b 7.6908
_cell_length_c 2.9640
_cell_angle_alpha 90.00
_cell_angle_beta 90.00
_cell_angle_gamma 90.00
_space_group_name_H-M_alt 'C m m m'
_space_group_IT_number 65
_space_group_name_Hall '-C 2 2'
loop_
_atom_site_label
_atom_site_type_symbol
_atom_site_fract_x
_atom_site_fract_y
_atom_site_fract_z
Fe1 Fe 0.2500 0.2500 0.0000
Sb1 Sb 0.0000 0.0000 0.5000
Ir1 Ir 0.0000 0.5000 0.5000
# Calculated density = 11.765 g cm⁻³
# Volume = 15.02 Å³/atom
# Total energy = -7.27 eV per atom
# ΔE_f (raw) = 20.24 kJ/mol of atoms

***

# 3
# Fe3SbIr (PBE, optimized geometry)
data_Fe3SbIr
_cell_length_a 4.6805
_cell_length_b 4.6805
_cell_length_c 4.6805
_cell_angle_alpha 90.00
_cell_angle_beta 90.00
_cell_angle_gamma 90.00
_space_group_name_H-M_alt 'P m -3 m'
_space_group_IT_number 221
_space_group_name_Hall '-P 4 2 3'
loop_
_atom_site_label
_atom_site_type_symbol
_atom_site_fract_x
_atom_site_fract_y
_atom_site_fract_z
Fe1 Fe 0.0000 0.0000 0.5000
Sb1 Sb 0.5000 0.5000 0.5000
Ir1 Ir 0.0000 0.0000 0.0000
# Calculated density = 7.798 g cm⁻³
# Volume = 20.51 Å³/atom
# Total energy = -6.64 eV per atom
# Polymorph energy (0 for the lowest one) = 0.0 kJ/mol of atoms
# ΔE_f (raw) = 99.96 kJ/mol of atoms

***

# 4
# Fe2SbIr (PBE, optimized geometry)
data_Fe2SbIr
_cell_length_a 2.9321
_cell_length_b 2.9321
_cell_length_c 24.8748
_cell_angle_alpha 90.00
_cell_angle_beta 90.00
_cell_angle_gamma 120.00
_space_group_name_H-M_alt 'R -3 m'
_space_group_IT_number 166
_space_group_name_Hall '-R 3 2"'
loop_
_atom_site_label
_atom_site_type_symbol
_atom_site_fract_x
_atom_site_fract_y
_atom_site_fract_z
Fe1 Fe 0.0000 0.0000 0.2468
Sb1 Sb 0.0000 0.0000 0.0000
Ir1 Ir 0.0000 0.0000 0.5000
# Calculated density = 11.449 g cm⁻³
# Volume = 15.43 Å³/atom
# Total energy = -7.07 eV per atom
# ΔE_f (raw) = 39.53 kJ/mol of atoms

***

# 5
# Fe2SbIr (PBE, optimized geometry)
data_Fe2SbIr
_cell_length_a 6.1844
_cell_length_b 6.1844
_cell_length_c 6.1844
_cell_angle_alpha 90.00
_cell_angle_beta 90.00
_cell_angle_gamma 90.00
_space_group_name_H-M_alt 'F -4 3 m'
_space_group_IT_number 216
_space_group_name_Hall 'F -4 2 3'
loop_
_atom_site_label
_atom_site_type_symbol
_atom_site_fract_x
_atom_site_fract_y
_atom_site_fract_z
Fe1 Fe 0.0000 0.0000 0.0000
Fe2 Fe 0.2500 0.2500 0.2500
Sb1 Sb 0.2500 0.2500 0.7500
Ir1 Ir 0.0000 0.0000 0.5000
# Calculated density = 11.953 g cm⁻³
# Volume = 14.78 Å³/atom
# Total energy = -7.38 eV per atom
# ΔE_f (raw) = 9.26 kJ/mol of atoms

***

# 6
# Fe2SbIr (PBE, optimized geometry)
data_Fe2SbIr
_cell_length_a 2.9013
_cell_length_b 3.9407
_cell_length_c 5.3078
_cell_angle_alpha 90.00
_cell_angle_beta 90.00
_cell_angle_gamma 90.00
_space_group_name_H-M_alt 'P m m m'
_space_group_IT_number 47
loop_
_space_group_symop_operation_xyz
'x,y,z'
'-x,-y,-z'
'-x,-y,z'
'x,y,-z'
'x,-y,-z'
'-x,y,z'
'-x,y,-z'
'x,-y,z'
loop_
_atom_site_label
_atom_site_type_symbol
_atom_site_fract_x
_atom_site_fract_y
_atom_site_fract_z
Fe1 Fe 0.0000 0.0000 0.2333
Sb1 Sb 0.5000 0.5000 0.5000
Ir1 Ir 0.5000 0.5000 0.0000
# Calculated density = 11.648 g cm⁻³
# Volume = 15.17 Å³/atom
# Total energy = -7.28 eV per atom
# ΔE_f (raw) = 19.40 kJ/mol of atoms

***

# 7
# Fe2SbIr (PBE, optimized geometry)
data_Fe2SbIr
_cell_length_a 3.0860
_cell_length_b 3.0860
_cell_length_c 6.2079
_cell_angle_alpha 90.00
_cell_angle_beta 90.00
_cell_angle_gamma 90.00
_space_group_name_H-M_alt 'P 4/m m m'
_space_group_IT_number 123
_space_group_name_Hall '-P 4 2'
loop_
_atom_site_label
_atom_site_type_symbol
_atom_site_fract_x
_atom_site_fract_y
_atom_site_fract_z
Fe1 Fe 0.0000 0.0000 0.2376
Sb1 Sb 0.5000 0.5000 0.5000
Ir1 Ir 0.5000 0.5000 0.0000
# Calculated density = 11.956 g cm⁻³
# Volume = 14.78 Å³/atom
# Total energy = -7.19 eV per atom
# ΔE_f (raw) = 27.86 kJ/mol of atoms

***

# 8
# Fe2SbIr (PBE, optimized geometry)
data_Fe2SbIr
_cell_length_a 3.8288
_cell_length_b 3.8288
_cell_length_c 17.4708
_cell_angle_alpha 90.00
_cell_angle_beta 90.00
_cell_angle_gamma 90.00
_space_group_name_H-M_alt 'I -4 2 d'
_space_group_IT_number 122
_space_group_name_Hall 'I -4 2bw'
loop_
_atom_site_label
_atom_site_type_symbol
_atom_site_fract_x
_atom_site_fract_y
_atom_site_fract_z
Fe1 Fe 0.1733 0.2500 0.1250
Sb1 Sb 0.0000 0.0000 0.5000
Ir1 Ir 0.0000 0.0000 0.0000
# Calculated density = 11.039 g cm⁻³
# Volume = 16.01 Å³/atom
# Total energy = -6.82 eV per atom
# ΔE_f (raw) = 63.05 kJ/mol of atoms

***

# 9
# Fe2SbIr (PBE, optimized geometry)
data_Fe2SbIr
_cell_length_a 3.8122
_cell_length_b 3.8122
_cell_length_c 8.2598
_cell_angle_alpha 90.00
_cell_angle_beta 90.00
_cell_angle_gamma 90.00
_space_group_name_H-M_alt 'I 4/m m m'
_space_group_IT_number 139
_space_group_name_Hall '-I 4 2'
loop_
_atom_site_label
_atom_site_type_symbol
_atom_site_fract_x
_atom_site_fract_y
_atom_site_fract_z
Fe1 Fe 0.0000 0.5000 0.2500
Sb1 Sb 0.0000 0.0000 0.0000
Ir1 Ir 0.0000 0.0000 0.5000
# Calculated density = 11.777 g cm⁻³
# Volume = 15.00 Å³/atom
# Total energy = -7.36 eV per atom
# ΔE_f (raw) = 11.05 kJ/mol of atoms

***

# 10
# FeTcSb2Ir (PBE, optimized geometry)
data_FeTcSb2Ir
_cell_length_a 5.0057
_cell_length_b 5.0057
_cell_length_c 4.5600
_cell_angle_alpha 90.00
_cell_angle_beta 90.00
_cell_angle_gamma 90.00
_space_group_name_H-M_alt 'P 4/m m m'
_space_group_IT_number 123
_space_group_name_Hall '-P 4 2'
loop_
_atom_site_label
_atom_site_type_symbol
_atom_site_fract_x
_atom_site_fract_y
_atom_site_fract_z
Fe1 Fe 0.0000 0.0000 0.0000
Tc1 Tc 0.0000 0.0000 0.5000
Sb1 Sb 0.0000 0.5000 0.5000
Ir1 Ir 0.5000 0.5000 0.0000
# Calculated density = 8.568 g cm⁻³
# Volume = 22.85 Å³/atom
# Total energy = -5.93 eV per atom
# ΔE_f (raw) = 121.74 kJ/mol of atoms

***

# 11
# FeSbTe2Ir (PBE, optimized geometry)
data_FeSbTe2Ir
_cell_length_a 4.8799
_cell_length_b 4.8799
_cell_length_c 4.7468
_cell_angle_alpha 90.00
_cell_angle_beta 90.00
_cell_angle_gamma 90.00
_space_group_name_H-M_alt 'P 4/m m m'
_space_group_IT_number 123
_space_group_name_Hall '-P 4 2'
loop_
_atom_site_label
_atom_site_type_symbol
_atom_site_fract_x
_atom_site_fract_y
_atom_site_fract_z
Fe1 Fe 0.0000 0.0000 0.0000
Sb1 Sb 0.0000 0.0000 0.5000
Te1 Te 0.0000 0.5000 0.0000
Ir1 Ir 0.5000 0.5000 0.5000
# Calculated density = 9.182 g cm⁻³
# Volume = 22.61 Å³/atom
# Total energy = -4.63 eV per atom
# Polymorph energy (0 for the lowest one) = 0.0 kJ/mol of atoms
# ΔE_f (raw) = 88.14 kJ/mol of atoms

***

# 12
# ZnFeSb2Ir (PBE, optimized geometry)
data_ZnFeSb2Ir
_cell_length_a 4.7319
_cell_length_b 4.7319
_cell_length_c 4.4920
_cell_angle_alpha 90.00
_cell_angle_beta 90.00
_cell_angle_gamma 90.00
_space_group_name_H-M_alt 'P 4/m m m'
_space_group_IT_number 123
_space_group_name_Hall '-P 4 2'
loop_
_atom_site_label
_atom_site_type_symbol
_atom_site_fract_x
_atom_site_fract_y
_atom_site_fract_z
Zn1 Zn 0.0000 0.0000 0.0000
Fe1 Fe 0.0000 0.0000 0.5000
Sb1 Sb 0.0000 0.5000 0.5000
Ir1 Ir 0.5000 0.5000 0.0000
# Calculated density = 9.196 g cm⁻³
# Volume = 20.12 Å³/atom
# Total energy = -4.64 eV per atom
# ΔE_f (raw) = 70.26 kJ/mol of atoms